First-principles (PBE-GGA) data for a relaxed TbCePtRh crystal, as listed in Alexandria.

Results
E above lowest polymorph (eV/atom): 0.000
V (Å³ per cell): 89
DFT total energy (eV/atom): -7.0027
Energy of formation from the pure elements (eV/atom): -1.01

Unit cell a=3.8045 b=4.2296 c=5.8623 alpha=90.00 beta=108.93 gamma=90.00
Each line ends with the local moment (μB).
Element x y z (fractional)
Pt  0.5891  0.5000  0.1781  0.00
Tb  0.1417  0.0000  0.2835  0.02
Rh  0.4033  0.0000  0.8065  -0.02
Ce  0.8659  0.5000  0.7319  0.20